# 1
4
Lattice="3.510 0.000 0.000 1.755 3.039 0.000 1.755 1.013 6.107" Properties=species:S:1:pos:R:3 comment="PrHoN2 (GGA-PBE, relaxed)" formation_energy_uncorrected_ev_per_atom=-1.2293 spacegroup=R3m pbc="T T T"
Pr 5.265 3.039 6.001
Ho 3.510 2.026 3.017
N 1.755 1.013 4.587
N 1.755 1.013 1.662



# 2
12
Lattice="5.923 0.000 0.000 -2.961 5.129 0.000 0.000 0.000 6.982" Properties=species:S:1:pos:R:3 comment="Ba3MgGa2O6 (GGA-PBE, relaxed)" formation_energy_uncorrected_ev_per_atom=-2.1618 spacegroup=P-3m1 dos_at_fermi_per_ev_fu=3.33 pbc="T T T"
Ba 0.000 3.419 4.533
Ba 2.961 1.710 2.450
Ba 0.000 0.000 0.000
Mg 0.000 0.000 3.491
Ga 2.961 1.710 5.567
Ga 0.000 3.419 1.416
O 1.475 4.271 2.192
O 0.000 1.716 2.192
O -1.475 4.271 2.192
O 2.961 3.413 4.790
O 1.486 0.858 4.790
O 4.437 0.858 4.790



# 3
8
Lattice="-1.894 4.534 1.290 -3.338 -4.996 2.652 4.318 0.168 5.750" Properties=species:S:1:pos:R:3 comment="Er2ScHg (GGA-PBE, relaxed)" delta_e_f_kj_per_mol_atoms=-8.60 spacegroup=Cmcm dos_at_fermi_per_ev_fu=5.11 relative_energy_ev_per_atom=0.124 pbc="T T T"
Er 1.110 -1.819 8.025
Er -2.025 1.525 1.667
Er -0.050 1.602 4.298
Er -0.865 -1.896 5.395
Sc 2.819 -0.141 4.635
Sc -3.734 -0.153 5.057
Hg -0.403 0.677 7.030
Hg -0.512 -0.971 2.662



# 4
18
Lattice="-2.096 -4.990 1.175 9.222 0.211 4.296 -4.193 3.836 8.813" Properties=species:S:1:pos:R:3 comment="TbSmEr2Tm5 (GGA-PBE, relaxed)" delta_e_f_kj_per_mol_atoms=15.78 spacegroup=Cmc2_1 dos_at_fermi_per_ev_fu=13.91 pbc="T T T"
Tb 1.703 -1.900 8.023
Tb 3.228 -0.871 2.062
Sm -3.672 0.776 9.801
Sm 4.906 -0.165 8.053
Er 1.846 -1.121 11.585
Er -1.291 2.322 7.562
Er 0.509 0.708 3.915
Er 4.339 -3.371 6.480
Tm 6.283 -1.695 4.009
Tm -0.875 -0.386 9.855
Tm 4.734 0.638 11.159
Tm 1.917 1.355 9.179
Tm 4.625 -2.678 9.931
Tm -1.442 -0.993 6.266
Tm 3.307 -0.099 5.482
Tm -1.684 -1.688 2.879
Tm 1.353 -2.607 4.396
Tm 0.186 0.018 0.407



# 5
4
Lattice="-1.272 -1.116 2.310 1.536 -1.885 -1.511 7.700 2.073 5.240" Properties=species:S:1:pos:R:3 comment="CdTcP2 (GGA-PBE, relaxed)" delta_e_f_kj_per_mol_atoms=38.96 spacegroup=Cmm2 dos_at_fermi_per_ev_fu=2.24 pbc="T T T"
Cd 5.815 0.029 4.266
P 7.547 2.032 5.136
P 2.467 -0.872 1.988
Tc 3.685 0.992 2.508



# 6
12
Lattice="4.371 0.000 0.000 0.000 8.757 0.366 -2.185 -2.472 9.177" Properties=species:S:1:pos:R:3 comment="Pr6Ge2BiSe3 (GGA-PBE, relaxed)" formation_energy_uncorrected_ev_per_atom=-1.3953 spacegroup=C2/m dos_at_fermi_per_ev_fu=2.29 pbc="T T T"
Pr 0.000 6.278 6.353
Pr 2.185 4.230 3.325
Pr 2.185 0.007 3.190
Pr 0.000 2.285 0.189
Pr 2.185 3.999 9.354
Pr 0.000 2.055 6.217
Ge 2.185 4.177 6.347
Ge 0.000 2.107 3.196
Bi 2.185 0.000 0.000
Se 2.185 4.378 0.183
Se 2.185 -0.202 6.217
Se 0.000 6.487 3.325



Summary of DFT total energy in eV per atom
-7.7313; -5.7589; -4.0289; -4.3734; -5.1214; -5.7491
(order as listed above)